No. 1
# ReAsIr

An optimized crystal structure of ReAsIr (PBE-GGA, Alexandria via LeMat-Bulk).

abc: 2.772 4.829 14.221
angles: 90.00 90.00 90.00
Space group Fmm2 (No. 42)
Unique sites:
Re (0.000, 0.000, 0.000)
As (0.000, 0.000, 0.672)
Ir (0.000, 0.000, 0.344)

Values from the calculation:
density of states at the Fermi level	2.15	states/eV/f.u.
energy relative to the elements	0.4976	eV per atom
M_tot	0.00	μB per formula unit

No. 2
# ReAs2Ir

An optimized crystal structure of ReAs2Ir (PBE-GGA, Alexandria via LeMat-Bulk).

abc: 2.972 3.957 5.306
angles: 90.00 90.00 90.00
Space group Pmm2 (No. 25)
Unique sites:
Re (0.000, 0.000, 0.000)
As (0.000, 0.000, 0.521)
As (0.500, 0.500, 0.164)
Ir (0.500, 0.500, 0.679)

Values from the calculation:
density of states at the Fermi level	1.92	states/eV/f.u.
energy relative to the elements	0.1793	eV per atom
M_tot	0.00	μB per formula unit

Q: Look up the energy relative to the elements of the first one.
A: 0.4976 eV per atom

Q: Which of these has the lowest density of states at the Fermi level?
A: ReAs2Ir

What did the second record say?
# ReAs2Ir

An optimized crystal structure of ReAs2Ir (PBE-GGA, Alexandria via LeMat-Bulk).

abc: 2.972 3.957 5.306
angles: 90.00 90.00 90.00
Space group Pmm2 (No. 25)
Unique sites:
Re (0.000, 0.000, 0.000)
As (0.000, 0.000, 0.521)
As (0.500, 0.500, 0.164)
Ir (0.500, 0.500, 0.679)

Values from the calculation:
density of states at the Fermi level	1.92	states/eV/f.u.
energy relative to the elements	0.1793	eV per atom
M_tot	0.00	μB per formula unit